(1)
The following is a DFT calculation (GGA-PBE) of an optimized crystal structure of La3Pm5Sm2.

Structure (POSCAR):
```
La3Pm5Sm2
1.0
5.581 -7.861 0.000
5.581 7.861 0.000
-5.541 0.000 8.069
La Pm Sm
6 10 4
direct
0.023 0.275 0.055
0.227 0.773 0.750
0.275 0.023 0.555
0.725 0.977 0.445
0.773 0.227 0.250
0.977 0.725 0.945
0.019 0.981 0.750
0.143 0.384 0.772
0.271 0.729 0.250
0.384 0.143 0.272
0.471 0.529 0.250
0.529 0.471 0.750
0.616 0.857 0.728
0.729 0.271 0.750
0.857 0.616 0.228
0.981 0.019 0.250
0.226 0.469 0.455
0.469 0.226 0.955
0.531 0.774 0.045
0.774 0.531 0.545
```

Values from the calculation:
Symmetry = C2/c
Spin magnetization = 0.0 μB/cell
DFT total energy = -46.27 eV/f.u.

=====

(2)
The following is a DFT calculation (GGA-PBE) of an optimized crystal structure of SiAgBr2.

Structure (POSCAR):
```
SiAgBr2
1.0
3.811 0.000 0.000
-1.906 3.300 0.000
0.000 0.000 26.350
Si Ag Br
3 3 6
direct
0.000 0.000 0.000
0.333 0.667 0.667
0.667 0.333 0.333
0.000 0.000 0.500
0.333 0.667 0.167
0.667 0.333 0.833
0.000 0.000 0.098
0.000 0.000 0.902
0.333 0.667 0.569
0.333 0.667 0.765
0.667 0.333 0.235
0.667 0.333 0.431
```

Values from the calculation:
Formation energy (no corrections) = 0.178 eV/atom
Energy above the most stable polymorph in this dataset = 26.24 kJ per mole of atoms
Symmetry = R-3m
Spin magnetization = 0.0 μB/cell
DFT total energy = -10.91 eV/f.u.

=====

Number 2 is which compound? SiAgBr2

=====

Look up the DFT total energy of the first one. -46.27 eV/f.u.